Entry from the Open Quantum Materials Database: an optimized crystal structure of TbAlI (PBE).

Calculated values
Total DFT energy (no corrections) in eV per cell: -25.23

Unit cell a=4.295 b=4.295 c=12.441 alpha=100.13 beta=100.13 gamma=59.99
Atoms (fractional coordinates):
Tb  0.057  0.057  0.168
Tb  0.943  0.943  0.832
Al  0.339  0.339  0.016
Al  0.661  0.661  0.984
I  0.221  0.221  0.670
I  0.779  0.779  0.330